Record 1
The following is a PBE with a Hubbard U calculation of a relaxed structure of CoNiPO2, from Alexandria.

Cell lengths 3.541, 3.541, 4.984 Å; angles 90.00, 90.00, 90.00 degrees
Last column: magnetic moment on the atom in μB.
Positions (direct):
O: 0.000 0.500 0.000  0.35
O: 0.500 0.000 0.000  0.35
Co: 0.000 0.000 0.000  1.78
P: 0.000 0.000 0.500  -0.06
Ni: 0.500 0.500 0.500  1.23

Summary:
The space group is P4/mmm. The total energy comes out at -22.5 eV for the cell shown.


Record 2
The following is a PBE with a Hubbard U calculation of a relaxed structure of CoNiP2O8, from Alexandria.

Cell lengths 5.256, 5.256, 5.544 Å; angles 90.00, 90.00, 120.00 degrees
Last column: magnetic moment on the atom in μB.
Positions (direct):
O: 0.661 0.830 0.747  0.20
O: 0.830 0.661 0.253  0.20
O: 0.333 0.667 0.384  0.25
O: 0.170 0.339 0.747  0.20
O: 0.170 0.830 0.747  0.20
O: 0.339 0.170 0.253  0.20
O: 0.830 0.170 0.253  0.20
O: 0.667 0.333 0.616  0.25
P: 0.667 0.333 0.342  0.00
P: 0.333 0.667 0.658  0.00
Ni: 0.000 0.000 0.000  1.83
Co: 0.000 0.000 0.500  3.04

Summary:
The space group is P-3m1. The total energy comes out at -75.5 eV for the cell shown.